VASP calculation (PBE) on a geometry-optimized AlCd2Sb structure.

Values from the calculation:
E_form (uncorrected): 0.146 eV/atom
Crystal system: tetragonal
Offset from the most stable computed form: 0.22 eV/f.u.
Raw total energy: -2.2778 eV/atom

a b c (Å): 3.178 3.178 9.137
angles (deg): 90.00 90.00 90.00
Space group P4/mmm (No. 123)
Symmetry-distinct sites (fractional):
Al1 0.000 0.000 0.000 x1
Cd1 0.500 0.500 0.222 x2
Sb1 0.000 0.000 0.500 x1